(1)
{
  "formula": "BaLiAs2O6",
  "functional": "GGA-PBE",
  "state": "relaxed",
  "lattice_angstrom": [[2.5906, 1.4957, 6.4770], [-2.5906, 1.4957, 6.4770], [0.0000, -2.9914, 6.4770]],
  "species": ["Ba", "Li", "As", "As", "O", "O", "O", "O", "O", "O"],
  "frac_coords": [[0.0000, 0.0000, 0.0000], [0.5000, 0.5000, 0.5000], [0.1734, 0.1734, 0.1734], [0.8266, 0.8266, 0.8266], [0.0806, 0.4441, 0.8132], [0.1868, 0.9194, 0.5559], [0.4441, 0.8132, 0.0806], [0.5559, 0.1868, 0.9194], [0.8132, 0.0806, 0.4441], [0.9194, 0.5559, 0.1868]],
  "vol_a3_per_atom": 15.058,
  "magnetic_moment_mub_per_fu": 0.00,
  "raw_formation_energy_mev_per_atom": -1611,
  "dos_ef_per_ev_atom": 0.29
}

(2)
{
  "formula": "Ba2Li2AsO6",
  "functional": "GGA-PBE",
  "state": "relaxed",
  "lattice_angstrom": [[2.8803, 1.6630, 5.1378], [-2.8803, 1.6630, 5.1378], [0.0000, -3.3259, 5.1378]],
  "species": ["Ba", "Ba", "Li", "Li", "As", "O", "O", "O", "O", "O", "O"],
  "frac_coords": [[0.2331, 0.2331, 0.2331], [0.7669, 0.7669, 0.7669], [0.4209, 0.4209, 0.4209], [0.5791, 0.5791, 0.5791], [0.0000, 0.0000, 0.0000], [0.2227, 0.2227, 0.7692], [0.2227, 0.7692, 0.2227], [0.2308, 0.7773, 0.7773], [0.7692, 0.2227, 0.2227], [0.7773, 0.2308, 0.7773], [0.7773, 0.7773, 0.2308]],
  "vol_a3_per_atom": 13.423,
  "magnetic_moment_mub_per_fu": 1.04,
  "raw_formation_energy_mev_per_atom": -1937,
  "dos_ef_per_ev_atom": 0.57
}

(3)
{
  "formula": "Ba3LiAs2O8",
  "functional": "GGA-PBE",
  "state": "relaxed",
  "lattice_angstrom": [[5.1879, -3.1783, 0.0000], [5.1879, 3.1783, 0.0000], [-3.3083, 0.0000, 6.9514]],
  "species": ["Ba", "Ba", "Ba", "Li", "As", "As", "O", "O", "O", "O", "O", "O", "O", "O"],
  "frac_coords": [[0.0000, 0.0000, 0.0000], [0.2953, 0.1145, 0.6160], [0.8855, 0.7047, 0.3840], [0.4657, 0.5343, 0.0000], [0.5042, 0.3330, 0.2563], [0.6670, 0.4958, 0.7437], [0.3066, 0.2324, 0.3051], [0.3325, 0.6036, 0.7361], [0.3964, 0.6675, 0.2639], [0.4625, 0.2204, 0.0025], [0.7676, 0.6934, 0.6949], [0.7796, 0.5375, 0.9975], [0.8178, 0.1566, 0.6780], [0.8434, 0.1822, 0.3220]],
  "vol_a3_per_atom": 16.375,
  "magnetic_moment_mub_per_fu": 0.66,
  "raw_formation_energy_mev_per_atom": -2037,
  "dos_ef_per_ev_atom": 0.19,
  "polymorph_energy_ev_per_atom": 0.026
}

(4)
{
  "formula": "Ba3LiAs2O6",
  "functional": "GGA-PBE",
  "state": "relaxed",
  "lattice_angstrom": [[5.8637, 0.0000, 0.0000], [-2.9319, 5.0781, 0.0000], [0.0000, 0.0000, 6.9559]],
  "species": ["Ba", "Ba", "Ba", "Li", "As", "As", "O", "O", "O", "O", "O", "O"],
  "frac_coords": [[0.0000, 0.0000, 0.0000], [0.3333, 0.6667, 0.6515], [0.6667, 0.3333, 0.3485], [0.0000, 0.0000, 0.5000], [0.3333, 0.6667, 0.1734], [0.6667, 0.3333, 0.8266], [0.1784, 0.3568, 0.3054], [0.1784, 0.8216, 0.3054], [0.3568, 0.1784, 0.6946], [0.6432, 0.8216, 0.3054], [0.8216, 0.1784, 0.6946], [0.8216, 0.6432, 0.6946]],
  "vol_a3_per_atom": 17.260,
  "magnetic_moment_mub_per_fu": 0.77,
  "raw_formation_energy_mev_per_atom": -2062,
  "dos_ef_per_ev_atom": 0.27
}

(5)
{
  "formula": "Ba2Li4As3Pb",
  "functional": "GGA-PBE",
  "state": "relaxed",
  "lattice_angstrom": [[4.5414, 0.0000, 0.0000], [0.0000, 4.5414, 0.0000], [0.0000, 0.0000, 11.4494]],
  "species": ["Ba", "Ba", "Li", "Li", "Li", "Li", "As", "As", "As", "Pb"],
  "frac_coords": [[0.0000, 0.5000, 0.2259], [0.5000, 0.0000, 0.7741], [0.0000, 0.0000, 0.0000], [0.0000, 0.5000, 0.6490], [0.5000, 0.0000, 0.3510], [0.5000, 0.5000, 0.0000], [0.0000, 0.5000, 0.8733], [0.5000, 0.0000, 0.1267], [0.5000, 0.5000, 0.5000], [0.0000, 0.0000, 0.5000]],
  "vol_a3_per_atom": 23.614,
  "magnetic_moment_mub_per_fu": 0.00,
  "formation_energy_ev_per_atom": -0.77,
  "dos_ef_per_ev_atom": 0.22
}

(6)
{
  "formula": "BaLiAsPb",
  "functional": "GGA-PBE",
  "state": "relaxed",
  "lattice_angstrom": [[4.4534, 0.0000, 0.0000], [0.0000, 4.4534, 0.0000], [0.0000, 0.0000, 12.2483]],
  "species": ["Ba", "Ba", "Li", "Li", "As", "As", "Pb", "Pb"],
  "frac_coords": [[0.2500, 0.2500, 0.2152], [0.7500, 0.7500, 0.7848], [0.2500, 0.7500, 0.0000], [0.7500, 0.2500, 0.0000], [0.2500, 0.2500, 0.8826], [0.7500, 0.7500, 0.1174], [0.2500, 0.7500, 0.5000], [0.7500, 0.2500, 0.5000]],
  "vol_a3_per_atom": 30.365,
  "magnetic_moment_mub_per_fu": 0.00,
  "formation_energy_ev_per_atom": -0.61,
  "dos_ef_per_ev_atom": 0.74
}